# 1
VASP calculation (PBE) on a relaxed NaAc2Ag4Sn3 crystal.

DFT formation energy, meV per atom: -376
Space-group type: No. 115
DOS(E_F), states/eV per atom: 0.532
Size of the total moment, μB/cell: 0.00

Geometry as POSCAR:
```
NaAc2Ag4Sn3
1.0
4.778 0.000 0.000
0.000 4.778 0.000
0.000 0.000 11.479
Na Ac Ag Sn
1 2 4 3
Cartesian
0.000 0.000 0.000
0.000 2.389 8.413
2.389 0.000 3.066
0.000 0.000 5.739
0.000 2.389 1.502
2.389 0.000 9.977
2.389 2.389 5.739
0.000 2.389 4.203
2.389 0.000 7.276
2.389 2.389 0.000
```



# 2
VASP calculation (PBE) on a relaxed Hf2GeIr2 crystal.

DFT formation energy, meV per atom: -695
Space-group type: No. 127
DOS(E_F), states/eV per atom: 0.231
Size of the total moment, μB/cell: 0.00

Geometry as POSCAR:
```
Hf2GeIr2
1.0
7.655 0.000 0.000
0.000 7.655 0.000
0.000 0.000 3.118
Hf Ge Ir
4 2 4
Cartesian
1.251 2.577 0.000
2.577 6.405 0.000
5.078 1.251 0.000
6.405 5.078 0.000
0.000 0.000 1.559
3.828 3.828 1.559
1.015 4.843 1.559
2.812 1.015 1.559
4.843 6.640 1.559
6.640 2.812 1.559
```